# PBEsol InTeOs2, relaxed
data_InTeOs2
_space_group_name_H-M_alt 'C 1 2/m 1'
_space_group_IT_number 12
_cell_length_a 6.114
_cell_length_b 8.837
_cell_length_c 3.020
_cell_angle_alpha 90.00
_cell_angle_beta 119.49
_cell_angle_gamma 90.00
loop_
_space_group_symop_operation_xyz
'x,y,z'
'-x,-y,-z'
'-x,y,-z'
'x,-y,z'
'x+1/2,y+1/2,z'
'-x+1/2,-y+1/2,-z'
'-x+1/2,y+1/2,-z'
'x+1/2,-y+1/2,z'
loop_
_atom_site_label
_atom_site_type_symbol
_atom_site_fract_x
_atom_site_fract_y
_atom_site_fract_z
_atom_site_occupancy
In1 In 0.000 0.000 0.000 1
Te1 Te 0.000 0.500 0.000 1
Os1 Os 0.250 0.250 0.500 1
# VASP energy: -6.7135 eV/atom
# crystal system: monoclinic